Entry 1:
Material: PmErGaNi
Method: DFT, PBE-GGA
State: optimized geometry

The formation energy comes out at -0.41 eV/atom. As for the polymorph energy (0 for the lowest one): 52.8 meV/atom. The calculation puts the density of states at the Fermi level at 4.1 states/eV/f.u.

The space group is F-43m (No. 216) and the conventional cell measures 7.048, 7.048 and 7.048 Å, with angles of 90.00, 90.00 and 90.00 degrees. The inequivalent atoms are Pm at (0.000, 0.000, 0.000), Er at (0.000, 0.000, 0.500), Ga at (0.250, 0.250, 0.250) and Ni at (0.250, 0.250, 0.750).

Entry 2:
Material: TbCeGdGa
Method: DFT, PBE-GGA
State: optimized geometry

The formation energy comes out at -0.05 eV/atom. The calculation puts the density of states at the Fermi level at 6.7 states/eV/f.u.

The space group is F-43m (No. 216) and the conventional cell measures 7.431, 7.431 and 7.431 Å, with angles of 90.00, 90.00 and 90.00 degrees. The inequivalent atoms are Tb at (0.000, 0.000, 0.000), Ce at (0.250, 0.250, 0.750), Gd at (0.000, 0.000, 0.500) and Ga at (0.250, 0.250, 0.250).

Entry 3:
Material: GaAsW2
Method: DFT, PBE-GGA
State: optimized geometry

The formation energy comes out at 0.53 eV/atom. As for the polymorph energy (0 for the lowest one): 117.5 meV/atom. The calculation puts the density of states at the Fermi level at 2.5 states/eV/f.u.

The space group is I-42d (No. 122) and the conventional cell measures 3.849, 3.849 and 18.563 Å, with angles of 90.00, 90.00 and 90.00 degrees. The inequivalent atoms are Ga at (0.000, 0.000, 0.000), As at (0.000, 0.000, 0.500) and W at (0.248, 0.250, 0.125).

Entry 4:
Material: Tb2PrGa3
Method: DFT, PBE-GGA
State: optimized geometry

The formation energy comes out at -0.57 eV/atom. As for the polymorph energy (0 for the lowest one): 0.0 meV/atom. The calculation puts the density of states at the Fermi level at 3.3 states/eV/f.u.

The space group is P4/mmm (No. 123) and the conventional cell measures 3.619, 3.619 and 10.991 Å, with angles of 90.00, 90.00 and 90.00 degrees. The inequivalent atoms are Tb at (0.000, 0.000, 0.162), Pr at (0.000, 0.000, 0.500), Ga at (0.500, 0.500, 0.000) and Ga at (0.500, 0.500, 0.321).

Entry 5:
Material: Tm2HfGa
Method: DFT, PBE-GGA
State: optimized geometry

The formation energy comes out at -0.23 eV/atom. As for the polymorph energy (0 for the lowest one): 0.0 meV/atom. The calculation puts the density of states at the Fermi level at 2.8 states/eV/f.u.

The space group is P4/mmm (No. 123) and the conventional cell measures 3.378, 3.378 and 8.413 Å, with angles of 90.00, 90.00 and 90.00 degrees. The inequivalent atoms are Tm at (0.000, 0.000, 0.229), Hf at (0.500, 0.500, 0.500) and Ga at (0.500, 0.500, 0.000).

Entry 6:
Material: BaNa4Hg8
Method: DFT, PBE-GGA
State: optimized geometry

The formation energy comes out at -0.24 eV/atom. The calculation puts the density of states at the Fermi level at 6.9 states/eV/f.u.

The space group is I4/mmm (No. 139) and the conventional cell measures 10.433, 10.433 and 6.636 Å, with angles of 90.00, 90.00 and 90.00 degrees. The inequivalent atoms are Ba at (0.000, 0.000, 0.000), Na at (0.250, 0.250, 0.250), Hg at (0.000, 0.214, 0.500) and Hg at (0.000, 0.350, 0.000).

Entry 7:
Material: SmAgPt4
Method: DFT, PBE-GGA
State: optimized geometry

The formation energy comes out at -0.71 eV/atom. The calculation puts the density of states at the Fermi level at 8.2 states/eV/f.u.

The space group is F-43m (No. 216) and the conventional cell measures 7.620, 7.620 and 7.620 Å, with angles of 90.00, 90.00 and 90.00 degrees. The inequivalent atoms are Sm at (0.000, 0.000, 0.000), Ag at (0.250, 0.250, 0.250) and Pt at (0.125, 0.125, 0.625).

Entry 8:
Material: TaInBr2
Method: DFT, PBE-GGA
State: optimized geometry

As for the polymorph energy (0 for the lowest one): 0.0 meV/atom. The calculation puts the uncorrected formation energy at -0.2502 eV per atom. The calculation puts the density of states at the Fermi level at 0.5 states/eV/f.u.

The space group is R3m (No. 160, hexagonal axes) and the conventional cell measures 3.3952, 3.3952 and 29.0021 Å, with angles of 90.00, 90.00 and 120.00 degrees. The inequivalent atoms are Ta at (0.0000, 0.0000, 0.0000), In at (0.0000, 0.0000, 0.7445), Br at (0.0000, 0.0000, 0.2716) and Br at (0.0000, 0.0000, 0.4827).

Entry 9:
Material: Rb2SrSb2Pb
Method: DFT, PBE-GGA
State: optimized geometry

The calculation puts the uncorrected formation energy at -0.5340 eV per atom.

The space group is Ibam (No. 72) and the conventional cell measures 7.700, 17.494 and 7.847 Å, with angles of 90.00, 90.00 and 90.00 degrees. The inequivalent atoms are Rb at (0.220, 0.181, 0.000), Sr at (0.000, 0.500, 0.250), Sb at (0.246, 0.104, 0.500) and Pb at (0.000, 0.000, 0.250).

Entry 10:
Material: GaSbAu3
Method: DFT, PBE-GGA
State: optimized geometry

As for the polymorph energy (0 for the lowest one): 364.5 meV/atom. The calculation puts the uncorrected formation energy at 0.3430 eV per atom. The calculation puts the density of states at the Fermi level at 2.2 states/eV/f.u.

The space group is Pm-3m (No. 221) and the conventional cell measures 4.886, 4.886 and 4.886 Å, with angles of 90.00, 90.00 and 90.00 degrees. The inequivalent atoms are Ga at (0.000, 0.000, 0.000), Sb at (0.500, 0.500, 0.500) and Au at (0.000, 0.000, 0.500).

Entry 11:
Material: OsPdRh2
Method: DFT, PBE-GGA
State: optimized geometry

The formation energy comes out at 0.02 eV/atom. As for the polymorph energy (0 for the lowest one): 0.0 meV/atom. The calculation puts the density of states at the Fermi level at 3.6 states/eV/f.u.

The space group is P4/mmm (No. 123) and the conventional cell measures 2.728, 2.728 and 7.792 Å, with angles of 90.00, 90.00 and 90.00 degrees. The inequivalent atoms are Os at (0.000, 0.000, 0.000), Pd at (0.000, 0.000, 0.500) and Rh at (0.500, 0.500, 0.237).

Entry 12:
Material: Ta2CuAg
Method: DFT, PBE-GGA
State: optimized geometry

The formation energy comes out at 0.31 eV/atom. As for the polymorph energy (0 for the lowest one): 186.5 meV/atom. The calculation puts the density of states at the Fermi level at 3.1 states/eV/f.u.

The space group is R-3m (No. 166, hexagonal axes) and the conventional cell measures 2.8422, 2.8422 and 28.9130 Å, with angles of 90.00, 90.00 and 120.00 degrees. The inequivalent atoms are Ta at (0.0000, 0.0000, 0.2455), Cu at (0.0000, 0.0000, 0.5000) and Ag at (0.0000, 0.0000, 0.0000).

Entry 13:
Material: FeNiCl
Method: DFT, PBE-GGA
State: optimized geometry

As for the polymorph energy (0 for the lowest one): 476.1 meV/atom. The calculation puts the uncorrected formation energy at 0.6572 eV per atom. The calculation puts the density of states at the Fermi level at 2.9 states/eV/f.u.

The space group is F-43m (No. 216) and the conventional cell measures 5.779, 5.779 and 5.779 Å, with angles of 90.00, 90.00 and 90.00 degrees. The inequivalent atoms are Fe at (0.000, 0.000, 0.000), Ni at (0.250, 0.250, 0.250) and Cl at (0.000, 0.000, 0.500).

Entry 14:
Material: LiTl2Sn6
Method: DFT, PBE-GGA
State: optimized geometry

The formation energy comes out at -0.03 eV/atom. The calculation puts the density of states at the Fermi level at 3.6 states/eV/f.u.

The space group is P6/mmm (No. 191) and the conventional cell measures 9.5417, 9.5417 and 3.1620 Å, with angles of 90.00, 90.00 and 120.00 degrees. The inequivalent atoms are Li at (0.0000, 0.0000, 0.0000), Tl at (0.3333, 0.6667, 0.0000) and Sn at (0.0000, 0.3203, 0.5000).

Entry 15:
Material: Hg2Te2F
Method: DFT, PBE-GGA
State: optimized geometry

As for the polymorph energy (0 for the lowest one): 61.5 meV/atom. The calculation puts the uncorrected formation energy at -0.1560 eV per atom. The calculation puts the density of states at the Fermi level at 4.1 states/eV/f.u.

The space group is I4/mmm (No. 139) and the conventional cell measures 4.437, 4.437 and 14.019 Å, with angles of 90.00, 90.00 and 90.00 degrees. The inequivalent atoms are Hg at (0.000, 0.500, 0.250), Te at (0.000, 0.000, 0.112) and F at (0.000, 0.000, 0.500).

Entry 16:
Material: TaBeW
Method: DFT, PBE-GGA
State: optimized geometry

The formation energy comes out at 0.25 eV/atom. As for the polymorph energy (0 for the lowest one): 404.0 meV/atom. The calculation puts the density of states at the Fermi level at 2.0 states/eV/f.u.

The space group is P3m1 (No. 156) and the conventional cell measures 4.4534, 4.4534 and 2.6547 Å, with angles of 90.00, 90.00 and 120.00 degrees. The inequivalent atoms are Ta at (0.0000, 0.0000, 0.0000), Be at (0.6667, 0.3333, 0.6364) and W at (0.3333, 0.6667, 0.3693).

Entry 17:
Material: PmGe2Cl8
Method: DFT, PBE-GGA
State: optimized geometry

The calculation puts the uncorrected formation energy at -1.2075 eV per atom. The calculation puts the density of states at the Fermi level at 6.1 states/eV/f.u.

The space group is C2/m (No. 12) and the conventional cell measures 12.304, 8.858 and 7.657 Å, with angles of 90.00, 109.94 and 90.00 degrees. The inequivalent atoms are Pm at (0.000, 0.000, 0.000), Ge at (0.135, 0.000, 0.627), Cl at (0.089, 0.201, 0.808), Cl at (0.177, 0.500, 0.220) and Cl at (0.188, 0.000, 0.312).

Entry 18:
Material: CoSbPt2
Method: DFT, PBE-GGA
State: optimized geometry

The calculation puts the uncorrected formation energy at -0.0977 eV per atom. The calculation puts the density of states at the Fermi level at 2.5 states/eV/f.u.

The space group is P4/mmm (No. 123) and the conventional cell measures 3.918, 3.918 and 4.110 Å, with angles of 90.00, 90.00 and 90.00 degrees. The inequivalent atoms are Co at (0.000, 0.000, 0.000), Sb at (0.500, 0.500, 0.000) and Pt at (0.000, 0.500, 0.500).

Entry 19:
Material: La2Nd7YTl2
Method: DFT, PBE-GGA
State: optimized geometry

The formation energy comes out at -0.04 eV/atom. The calculation puts the density of states at the Fermi level at 21.9 states/eV/f.u.

The space group is Cmmm (No. 65) and the conventional cell measures 7.028, 10.189 and 11.490 Å, with angles of 90.00, 90.00 and 90.00 degrees. The inequivalent atoms are La at (0.000, 0.000, 0.146), Nd at (0.000, 0.000, 0.500), Nd at (0.000, 0.319, 0.000), Nd at (0.250, 0.250, 0.334), Y at (0.000, 0.500, 0.500) and Tl at (0.000, 0.500, 0.229).

Entry 20:
Material: Sm2Ho6ErSc3
Method: DFT, PBE-GGA
State: optimized geometry

The formation energy comes out at 0.04 eV/atom. The calculation puts the density of states at the Fermi level at 17.7 states/eV/f.u.

The space group is C2/m (No. 12) and the conventional cell measures 6.040, 10.456 and 11.462 Å, with angles of 90.00, 100.10 and 90.00 degrees. The inequivalent atoms are Sm at (0.000, 0.167, 0.000), Ho at (0.246, 0.500, 0.740), Ho at (0.247, 0.166, 0.740), Er at (0.000, 0.500, 0.000), Sc at (0.000, 0.000, 0.500) and Sc at (0.000, 0.334, 0.500).

| no. | calculated total energy (eV for the cell shown) |
| --- | --- |
| 1 | -79.0 |
| 2 | -111.5 |
| 3 | -125.9 |
| 4 | -26.6 |
| 5 | -22.9 |
| 6 | -25.5 |
| 7 | -143.9 |
| 8 | -56.8 |
| 9 | -75.1 |
| 10 | -15.3 |
| 11 | -31.1 |
| 12 | -88.3 |
| 13 | -56.5 |
| 14 | -31.0 |
| 15 | -19.1 |
| 16 | -27.8 |
| 17 | -84.1 |
| 18 | -23.7 |
| 19 | -109.9 |
| 20 | -119.9 |